VASP calculation (PBE) on crystalline CaTb2ScSe4 at its relaxed geometry.

Structure (extended XYZ):
```
8
Lattice="-3.683 0.273 -1.646 -0.987 -6.899 1.064 -2.902 -0.963 6.333" Properties=species:S:1:pos:R:3 pbc="T T T"
Ca -1.945 -3.931 3.698
Tb -2.902 -0.963 6.333
Tb -3.293 -0.345 2.343
Sc -2.335 -3.313 -0.291
Se -2.935 -5.831 5.600
Se -4.637 -1.758 0.151
Se -3.287 -5.239 1.518
Se -4.286 -2.350 4.232
```

Summary:
DOS at the Fermi energy ... 0.44 states/eV per atom
Size of the total moment ... 0.00 Bohr magnetons per cell
DFT total energy ... -45.6 eV per cell
Raw formation energy ... -1.762 eV per atom
Calculated volume ... 189 Å³/f.u.